A relaxed YMg2Au crystal. Source: Alexandria via LeMat-Bulk, functional GGA-PBE.

Computed properties:
Its space-group type is No. 6. The crystal system is monoclinic. The value obtained for the electronic total energy is -3.63 eV/atom. The formation energy is -0.40 eV/atom.

abc: 4.094 3.760 6.567
angles: 73.18 90.00 90.00
Element x y z (fractional)
1 Mg 0.500 0.199 0.226
2 Au 0.500 0.953 0.716
3 Mg 0.000 0.808 0.011
4 Y 0.000 0.539 0.547